DFT (GGA-PBE) results for a relaxed MoOs2Pt crystal.

Output
total DFT energy (no corrections)	-9.7259	eV/atom
excess energy over the best structure of this formula in the dataset	66	kJ/mol of formula units
DOS(E_F)	4.01	states/eV/f.u.

Geometry as CIF:
```
data_MoOs2Pt
_symmetry_space_group_name_H-M 'P 4/m m m'
_symmetry_Int_Tables_number 123
_symmetry_space_group_name_Hall '-P 4 2'
_cell_length_a 2.7601
_cell_length_b 2.7601
_cell_length_c 7.8846
_cell_angle_alpha 90.00
_cell_angle_beta 90.00
_cell_angle_gamma 90.00
loop_
_atom_site_label
_atom_site_type_symbol
_atom_site_fract_x
_atom_site_fract_y
_atom_site_fract_z
Mo1 Mo 0.0000 0.0000 0.0000
Os1 Os 0.5000 0.5000 0.2448
Pt1 Pt 0.0000 0.0000 0.5000
```


DFT (GGA-PBE) results for a relaxed MoOs2Pt crystal.

Output
total DFT energy (no corrections)	-9.8562	eV/atom
excess energy over the best structure of this formula in the dataset	16	kJ/mol of formula units
DOS(E_F)	2.76	states/eV/f.u.

Geometry as CIF:
```
data_MoOs2Pt
_symmetry_space_group_name_H-M 'P 4 m m'
_symmetry_Int_Tables_number 99
_cell_length_a 2.7494
_cell_length_b 2.7494
_cell_length_c 7.9972
_cell_angle_alpha 90.00
_cell_angle_beta 90.00
_cell_angle_gamma 90.00
loop_
_symmetry_equiv_pos_as_xyz
'x,y,z'
'-y,x,z'
'-x,-y,z'
'y,-x,z'
'-x,y,z'
'y,x,z'
'x,-y,z'
'-y,-x,z'
loop_
_atom_site_label
_atom_site_type_symbol
_atom_site_fract_x
_atom_site_fract_y
_atom_site_fract_z
Mo1 Mo 0.0000 0.0000 0.0000
Os1 Os 0.0000 0.0000 0.4846
Os2 Os 0.5000 0.5000 0.2644
Pt1 Pt 0.5000 0.5000 0.7513
```


DFT (GGA-PBE) results for a relaxed MoOsPt3 crystal.

Output
total DFT energy (no corrections)	-6.4061	eV/atom
excess energy over the best structure of this formula in the dataset	0	kJ/mol of formula units
DOS(E_F)	4.42	states/eV/f.u.

Geometry as CIF:
```
data_MoOsPt3
_symmetry_space_group_name_H-M 'P m -3 m'
_symmetry_Int_Tables_number 221
_symmetry_space_group_name_Hall '-P 4 2 3'
_cell_length_a 4.8024
_cell_length_b 4.8024
_cell_length_c 4.8024
_cell_angle_alpha 90.00
_cell_angle_beta 90.00
_cell_angle_gamma 90.00
loop_
_atom_site_label
_atom_site_type_symbol
_atom_site_fract_x
_atom_site_fract_y
_atom_site_fract_z
Mo1 Mo 0.0000 0.0000 0.0000
Os1 Os 0.5000 0.5000 0.5000
Pt1 Pt 0.0000 0.5000 0.5000
```


DFT (GGA-PBE) results for a relaxed MoOsPt2 crystal.

Output
total DFT energy (no corrections)	-8.5498	eV/atom
excess energy over the best structure of this formula in the dataset	39	kJ/mol of formula units
DOS(E_F)	5.16	states/eV/f.u.

Geometry as CIF:
```
data_MoOsPt2
_symmetry_space_group_name_H-M 'C m m m'
_symmetry_Int_Tables_number 65
_symmetry_space_group_name_Hall '-C 2 2'
_cell_length_a 5.4549
_cell_length_b 8.0776
_cell_length_c 2.7577
_cell_angle_alpha 90.00
_cell_angle_beta 90.00
_cell_angle_gamma 90.00
loop_
_atom_site_label
_atom_site_type_symbol
_atom_site_fract_x
_atom_site_fract_y
_atom_site_fract_z
Mo1 Mo 0.0000 0.0000 0.0000
Os1 Os 0.0000 0.5000 0.0000
Pt1 Pt 0.2500 0.2500 0.5000
```


DFT (GGA-PBE) results for a relaxed Mo2Os3Pt2 crystal.

Output
total DFT energy (no corrections)	-9.6668	eV/atom
DOS(E_F)	6.97	states/eV/f.u.

Geometry as CIF:
```
data_Mo2Os3Pt2
_symmetry_space_group_name_H-M 'C m m m'
_symmetry_Int_Tables_number 65
_symmetry_space_group_name_Hall '-C 2 2'
_cell_length_a 3.9906
_cell_length_b 19.6012
_cell_length_c 2.7300
_cell_angle_alpha 90.00
_cell_angle_beta 90.00
_cell_angle_gamma 90.00
loop_
_atom_site_label
_atom_site_type_symbol
_atom_site_fract_x
_atom_site_fract_y
_atom_site_fract_z
Mo1 Mo 0.0000 0.1403 0.0000
Os1 Os 0.0000 0.0000 0.0000
Os2 Os 0.0000 0.4336 0.5000
Pt1 Pt 0.0000 0.2942 0.5000
```


DFT (GGA-PBE) results for a relaxed MoOsPt2 crystal.

Output
total DFT energy (no corrections)	-8.6037	eV/atom
excess energy over the best structure of this formula in the dataset	18	kJ/mol of formula units
DOS(E_F)	4.26	states/eV/f.u.

Geometry as CIF:
```
data_MoOsPt2
_symmetry_space_group_name_H-M 'C 1 m 1'
_symmetry_Int_Tables_number 8
_cell_length_a 9.2875
_cell_length_b 2.7362
_cell_length_c 4.8551
_cell_angle_alpha 90.00
_cell_angle_beta 99.31
_cell_angle_gamma 90.00
loop_
_symmetry_equiv_pos_as_xyz
'x,y,z'
'x,-y,z'
'x+1/2,y+1/2,z'
'x+1/2,-y+1/2,z'
loop_
_atom_site_label
_atom_site_type_symbol
_atom_site_fract_x
_atom_site_fract_y
_atom_site_fract_z
Mo1 Mo 0.0000 0.0000 0.0000
Os1 Os 0.2484 0.5000 0.2381
Pt1 Pt 0.2516 0.0000 0.7464
Pt2 Pt 0.4936 0.0000 0.4882
```


DFT (GGA-PBE) results for a relaxed SnMoOsPt2 crystal.

Output
total DFT energy (no corrections)	-5.5107	eV/atom
DOS(E_F)	4.44	states/eV/f.u.

Geometry as CIF:
```
data_SnMoOsPt2
_symmetry_space_group_name_H-M 'P 4/m m m'
_symmetry_Int_Tables_number 123
_symmetry_space_group_name_Hall '-P 4 2'
_cell_length_a 4.7967
_cell_length_b 4.7967
_cell_length_c 4.9596
_cell_angle_alpha 90.00
_cell_angle_beta 90.00
_cell_angle_gamma 90.00
loop_
_atom_site_label
_atom_site_type_symbol
_atom_site_fract_x
_atom_site_fract_y
_atom_site_fract_z
Sn1 Sn 0.0000 0.0000 0.0000
Mo1 Mo 0.0000 0.0000 0.5000
Os1 Os 0.5000 0.5000 0.5000
Pt1 Pt 0.0000 0.5000 0.0000
```


DFT (GGA-PBE) results for a relaxed SrMoOsPt2 crystal.

Output
total DFT energy (no corrections)	-5.7417	eV/atom
excess energy over the best structure of this formula in the dataset	0	kJ/mol of formula units
DOS(E_F)	4.42	states/eV/f.u.

Geometry as CIF:
```
data_SrMoOsPt2
_symmetry_space_group_name_H-M 'P 4/m m m'
_symmetry_Int_Tables_number 123
_symmetry_space_group_name_Hall '-P 4 2'
_cell_length_a 4.8811
_cell_length_b 4.8811
_cell_length_c 5.4269
_cell_angle_alpha 90.00
_cell_angle_beta 90.00
_cell_angle_gamma 90.00
loop_
_atom_site_label
_atom_site_type_symbol
_atom_site_fract_x
_atom_site_fract_y
_atom_site_fract_z
Sr1 Sr 0.0000 0.0000 0.0000
Mo1 Mo 0.5000 0.5000 0.0000
Os1 Os 0.0000 0.0000 0.5000
Pt1 Pt 0.0000 0.5000 0.5000
```


Among the records above, which one has the lowest DOS(E_F)?
number 2


Please write out number 2 again, unchanged.
DFT (GGA-PBE) results for a relaxed MoOs2Pt crystal.

Output
total DFT energy (no corrections)	-9.8562	eV/atom
excess energy over the best structure of this formula in the dataset	16	kJ/mol of formula units
DOS(E_F)	2.76	states/eV/f.u.

Geometry as CIF:
```
data_MoOs2Pt
_symmetry_space_group_name_H-M 'P 4 m m'
_symmetry_Int_Tables_number 99
_cell_length_a 2.7494
_cell_length_b 2.7494
_cell_length_c 7.9972
_cell_angle_alpha 90.00
_cell_angle_beta 90.00
_cell_angle_gamma 90.00
loop_
_symmetry_equiv_pos_as_xyz
'x,y,z'
'-y,x,z'
'-x,-y,z'
'y,-x,z'
'-x,y,z'
'y,x,z'
'x,-y,z'
'-y,-x,z'
loop_
_atom_site_label
_atom_site_type_symbol
_atom_site_fract_x
_atom_site_fract_y
_atom_site_fract_z
Mo1 Mo 0.0000 0.0000 0.0000
Os1 Os 0.0000 0.0000 0.4846
Os2 Os 0.5000 0.5000 0.2644
Pt1 Pt 0.5000 0.5000 0.7513
```


The highest total DFT energy (no corrections) belongs to which entry?
SnMoOsPt2